The following is a DFT calculation (PBE-GGA) of crystalline ZnCrTe2 at its relaxed geometry.

Values from the calculation:
- formation energy from raw total energies (eV per atom) = -0.142
- space-group type = I-42d, No. 122
- energy (eV/atom) = -4.437

Unit cell a=6.2419 b=6.2419 c=7.5747 alpha=65.67 beta=65.67 gamma=90.00
Positions (direct):
Cr 0.2500 0.7500 0.5000
Cr 0.5000 0.5000 0.0000
Zn 0.0000 0.0000 0.0000
Zn 0.7500 0.2500 0.5000
Te 0.3750 0.3725 0.7500
Te 0.8750 0.8775 0.7500
Te 0.1225 0.6250 0.2500
Te 0.6275 0.1250 0.2500

***

The following is a DFT calculation (PBE-GGA) of crystalline Pm2Ni4Sb3P at its relaxed geometry.

Values from the calculation:
- formation energy from raw total energies (eV per atom) = -0.677
- space-group type = P-4m2, No. 115
- energy (eV/atom) = -5.717

Unit cell a=4.3755 b=4.3755 c=9.8083 alpha=90.00 beta=90.00 gamma=90.00
Positions (direct):
Sb 0.0000 0.0000 0.5000
Sb 0.5000 0.0000 0.8677
Sb 0.0000 0.5000 0.1323
Ni 0.5000 0.0000 0.6103
Ni 0.0000 0.0000 0.0000
Ni 0.5000 0.5000 0.0000
Ni 0.0000 0.5000 0.3897
Pm 0.0000 0.5000 0.7455
Pm 0.5000 0.0000 0.2545
P 0.5000 0.5000 0.5000

***

The following is a DFT calculation (PBE-GGA) of crystalline NbInOs3 at its relaxed geometry.

Values from the calculation:
- space-group type = Pm-3m, No. 221
- ΔH_f (0 K) (meV per atom) = 2608
- energy (eV/atom) = -6.692

Unit cell a=4.7121 b=4.7121 c=4.7121 alpha=90.00 beta=90.00 gamma=90.00
Positions (direct):
Os 0.0000 0.5000 0.0000
Os 0.5000 0.0000 0.0000
Os 0.0000 0.0000 0.5000
Nb 0.5000 0.5000 0.5000
In 0.0000 0.0000 0.0000

***

The following is a DFT calculation (PBE-GGA) of crystalline CeSbAu2 at its relaxed geometry.

Values from the calculation:
- formation energy from raw total energies (eV per atom) = -0.476
- space-group type = P4/mmm, No. 123
- energy (eV/atom) = -4.628

Unit cell a=3.8799 b=3.8799 c=6.3324 alpha=90.00 beta=90.00 gamma=90.00
Positions (direct):
Au 0.0000 0.0000 0.7507
Au 0.0000 0.0000 0.2493
Sb 0.5000 0.5000 0.0000
Ce 0.5000 0.5000 0.5000